{"formula": "Zn2CrP", "functional": "PBE", "state": "optimized geometry", "m_tot_mub_per_atom": 0.07, "rho_g_cm3": 6.3, "space_group": "R-3m (166)", "ef_ev_per_atom": 0.3920, "lattice_angstrom": [[-2.713, 7.913, -1.742], [-4.688, 6.457, -3.057], [-4.923, 6.977, -0.332]], "species": ["Zn", "P", "Zn", "Cr"], "frac_coords": [[0.999, 0.999, 0.999], [0.750, 0.750, 0.750], [0.501, 0.501, 0.501], [0.250, 0.250, 0.250]]}

***

{"formula": "Zn3CrP", "functional": "PBE", "state": "optimized geometry", "m_tot_mub_per_atom": 0.89, "rho_g_cm3": 4.5, "space_group": "Pm-3m (221)", "ef_ev_per_atom": 0.6950, "lattice_angstrom": [[4.678, 0.000, 0.000], [0.000, 4.678, 0.000], [0.000, 0.000, 4.678]], "species": ["Zn", "Zn", "Zn", "Cr", "P"], "frac_coords": [[0.000, 0.000, 0.500], [0.500, 0.000, 0.000], [0.000, 0.500, 0.000], [0.500, 0.500, 0.500], [0.000, 0.000, 0.000]]}

***

{"formula": "ZnCr2P", "functional": "PBE", "state": "optimized geometry", "m_tot_mub_per_atom": 0.15, "rho_g_cm3": 6.6, "space_group": "Cmmm (65)", "ef_ev_per_atom": 0.1316, "lattice_angstrom": [[-1.748, -1.444, -1.366], [2.420, -1.013, -0.349], [-1.006, -4.478, 6.019]], "species": ["Cr", "Cr", "Zn", "P"], "frac_coords": [[0.000, 0.000, 0.031], [0.000, 0.000, 0.469], [0.500, 0.500, 0.750], [0.500, 0.500, 0.250]]}

***

{"formula": "Zn2CrP", "functional": "PBE", "state": "optimized geometry", "m_tot_mub_per_atom": 0.00, "rho_g_cm3": 6.1, "space_group": "Cmm2 (35)", "ef_ev_per_atom": 0.1592, "lattice_angstrom": [[2.661, -0.024, 0.000], [-0.756, 2.551, 0.000], [0.000, 0.000, 8.543]], "species": ["Zn", "Cr", "Zn", "P"], "frac_coords": [[0.000, 0.000, 0.011], [0.000, 0.000, 0.513], [0.500, 0.500, 0.273], [0.500, 0.500, 0.703]]}

***

{"formula": "Zn2CrP2", "functional": "PBE", "state": "optimized geometry", "m_tot_mub_per_atom": 0.76, "rho_g_cm3": 4.9, "space_group": "I4/mmm (139)", "ef_ev_per_atom": 0.4144, "lattice_angstrom": [[-2.323, 0.171, 2.272], [2.262, -0.210, 2.329], [0.615, 7.761, 2.375]], "species": ["P", "Cr", "Zn", "P", "Zn"], "frac_coords": [[0.750, 0.250, 0.500], [0.000, 0.000, 0.000], [0.402, 0.402, 0.196], [0.250, 0.750, 0.500], [0.598, 0.598, 0.804]]}

***

{"formula": "ZnCr2P", "functional": "PBE", "state": "optimized geometry", "m_tot_mub_per_atom": 0.00, "rho_g_cm3": 6.6, "space_group": "Immm (71)", "ef_ev_per_atom": 0.0883, "lattice_angstrom": [[4.541, -0.002, -0.004], [3.414, 2.994, -0.004], [2.037, 0.766, 3.707]], "species": ["Zn", "Cr", "Cr", "P"], "frac_coords": [[0.250, 0.250, 0.250], [0.040, 0.040, 0.960], [0.460, 0.460, 0.540], [0.750, 0.750, 0.750]]}

***

{"formula": "ZnCr2P", "functional": "PBE", "state": "optimized geometry", "m_tot_mub_per_atom": 0.00, "rho_g_cm3": 5.8, "space_group": "Cmm2 (35)", "ef_ev_per_atom": 0.1793, "lattice_angstrom": [[-2.061, 1.446, 0.048], [-0.283, -1.772, 1.766], [4.152, 5.705, 6.390]], "species": ["Cr", "Zn", "Cr", "P"], "frac_coords": [[0.500, 0.500, 0.234], [0.500, 0.500, 0.807], [0.000, 0.000, 0.031], [0.000, 0.000, 0.427]]}

***

{"formula": "ZnCr2P", "functional": "PBE", "state": "optimized geometry", "m_tot_mub_per_atom": 0.00, "rho_g_cm3": 6.5, "space_group": "Pm (6)", "ef_ev_per_atom": 0.1412, "lattice_angstrom": [[-1.041, -2.262, -3.213], [-2.096, -1.083, 1.442], [-3.663, 2.866, -0.830]], "species": ["Zn", "Cr", "P", "Cr"], "frac_coords": [[0.500, 0.696, 0.744], [0.500, 0.345, 0.261], [0.000, 0.384, 0.462], [0.000, 0.075, 0.033]]}

***

{"formula": "Zn2CrP", "functional": "PBE", "state": "optimized geometry", "m_tot_mub_per_atom": 0.00, "rho_g_cm3": 6.3, "space_group": "Cmmm (65)", "ef_ev_per_atom": 0.3520, "lattice_angstrom": [[-2.215, 1.209, 0.650], [0.826, -0.583, 2.402], [4.064, 7.252, 0.362]], "species": ["Zn", "Cr", "P", "Zn"], "frac_coords": [[0.000, 0.000, 0.016], [0.500, 0.500, 0.250], [0.500, 0.500, 0.750], [0.000, 0.000, 0.484]]}

***

{"formula": "Zn2Cr2P", "functional": "PBE", "state": "optimized geometry", "m_tot_mub_per_atom": 0.15, "rho_g_cm3": 6.4, "space_group": "P4/mbm (127)", "ef_ev_per_atom": -0.0286, "lattice_angstrom": [[-2.340, 0.479, -5.237], [-0.343, -5.734, -0.371], [-3.795, 0.116, 1.707]], "species": ["P", "Cr", "Cr", "Zn", "P", "Zn", "Zn", "Zn", "Cr", "Cr"], "frac_coords": [[0.500, 0.500, 0.000], [0.361, 0.861, 0.000], [0.639, 0.139, 0.000], [0.160, 0.660, 0.500], [0.000, 0.000, 0.000], [0.660, 0.840, 0.500], [0.340, 0.160, 0.500], [0.840, 0.340, 0.500], [0.861, 0.639, 0.000], [0.139, 0.361, 0.000]]}

***

{"formula": "Zn3CrP", "functional": "PBE", "state": "optimized geometry", "m_tot_mub_per_atom": 0.00, "rho_g_cm3": 4.6, "space_group": "Pm-3m (221)", "ef_ev_per_atom": 1.2553, "lattice_angstrom": [[4.661, 0.000, 0.000], [0.000, 4.661, 0.000], [0.000, 0.000, 4.661]], "species": ["Zn", "Zn", "P", "Cr", "Zn"], "frac_coords": [[0.000, 0.500, 0.000], [0.000, 0.000, 0.500], [0.500, 0.500, 0.500], [0.000, 0.000, 0.000], [0.500, 0.000, 0.000]]}

***

{"formula": "ZnCr2P", "functional": "PBE", "state": "optimized geometry", "m_tot_mub_per_atom": 0.11, "rho_g_cm3": 6.6, "space_group": "Imm2 (44)", "ef_ev_per_atom": 0.0891, "lattice_angstrom": [[-0.047, 4.368, -2.240], [-1.685, 2.467, -3.895], [-3.261, 2.165, 0.742]], "species": ["Cr", "Cr", "Zn", "P"], "frac_coords": [[0.012, 0.012, 0.988], [0.769, 0.769, 0.731], [0.238, 0.238, 0.262], [0.481, 0.481, 0.519]]}

***

{"formula": "Zn2CrP", "functional": "PBE", "state": "optimized geometry", "m_tot_mub_per_atom": 0.00, "rho_g_cm3": 6.5, "space_group": "P2/m (10)", "ef_ev_per_atom": 0.1891, "lattice_angstrom": [[-1.264, -1.775, 4.125], [0.233, -2.393, -0.958], [4.477, -1.437, 0.754]], "species": ["Cr", "Zn", "Zn", "P"], "frac_coords": [[0.500, 0.250, 0.250], [0.000, 0.802, 0.488], [0.000, 0.698, 0.012], [0.500, 0.750, 0.750]]}

***

{"formula": "Zn2CrP", "functional": "PBE", "state": "optimized geometry", "m_tot_mub_per_atom": 0.00, "rho_g_cm3": 6.3, "space_group": "P4/mmm (123)", "ef_ev_per_atom": 0.3459, "lattice_angstrom": [[2.568, 0.000, 0.000], [0.000, 2.568, 0.000], [0.000, 0.000, 8.520]], "species": ["P", "Cr", "Zn", "Zn"], "frac_coords": [[0.500, 0.500, 0.750], [0.500, 0.500, 0.250], [0.000, 0.000, 0.478], [0.000, 0.000, 0.022]]}

***

{"formula": "ZnCr2P", "functional": "PBE", "state": "optimized geometry", "m_tot_mub_per_atom": 0.08, "rho_g_cm3": 6.3, "space_group": "R3m (160)", "ef_ev_per_atom": 0.1578, "lattice_angstrom": [[-4.742, -4.596, -4.751], [-2.348, -4.806, -6.130], [-2.865, -6.486, -3.988]], "species": ["Zn", "Cr", "Cr", "P"], "frac_coords": [[0.747, 0.747, 0.747], [0.990, 0.990, 0.990], [0.252, 0.252, 0.252], [0.511, 0.511, 0.511]]}

***

{"formula": "ZnCr2P2", "functional": "PBE", "state": "optimized geometry", "m_tot_mub_per_atom": 0.35, "rho_g_cm3": 6.2, "space_group": "P4/mbm (127)", "ef_ev_per_atom": -0.1325, "lattice_angstrom": [[6.642, 0.000, 0.000], [0.000, 6.642, 0.000], [0.000, 0.000, 2.822]], "species": ["Cr", "Cr", "P", "Zn", "P", "P", "Cr", "P", "Zn", "Cr"], "frac_coords": [[0.352, 0.148, 0.500], [0.852, 0.352, 0.500], [0.144, 0.356, 0.000], [0.500, 0.500, 0.000], [0.356, 0.856, 0.000], [0.856, 0.644, 0.000], [0.148, 0.648, 0.500], [0.644, 0.144, 0.000], [0.000, 0.000, 0.000], [0.648, 0.852, 0.500]]}

***

{"formula": "ZnCr3P", "functional": "PBE", "state": "optimized geometry", "m_tot_mub_per_atom": 0.00, "rho_g_cm3": 5.7, "space_group": "Pm-3m (221)", "ef_ev_per_atom": 0.5887, "lattice_angstrom": [[4.194, 0.000, 0.000], [0.000, 4.194, 0.000], [0.000, 0.000, 4.194]], "species": ["Zn", "Cr", "Cr", "Cr", "P"], "frac_coords": [[0.500, 0.500, 0.500], [0.000, 0.000, 0.500], [0.000, 0.500, 0.000], [0.500, 0.000, 0.000], [0.000, 0.000, 0.000]]}

***

{"formula": "Zn4CrP", "functional": "PBE", "state": "optimized geometry", "m_tot_mub_per_atom": 0.55, "rho_g_cm3": 6.2, "space_group": "F-43m (216)", "ef_ev_per_atom": 0.3155, "lattice_angstrom": [[2.118, -4.610, -0.030], [-2.298, -3.863, 2.353], [-2.097, -3.737, -2.715]], "species": ["P", "Cr", "Zn", "Zn", "Zn", "Zn"], "frac_coords": [[0.000, 0.000, 0.000], [0.750, 0.750, 0.750], [0.873, 0.376, 0.376], [0.376, 0.376, 0.376], [0.376, 0.376, 0.873], [0.376, 0.873, 0.376]]}

***

{"formula": "Zn2CrP", "functional": "PBE", "state": "optimized geometry", "m_tot_mub_per_atom": 0.78, "rho_g_cm3": 6.3, "space_group": "P4/mmm (123)", "ef_ev_per_atom": 0.0921, "lattice_angstrom": [[-3.669, -0.877, 1.931], [1.823, -0.991, 3.015], [-0.172, 3.441, 1.235]], "species": ["Cr", "Zn", "Zn", "P"], "frac_coords": [[0.500, 0.500, 0.000], [0.000, 0.500, 0.500], [0.000, 0.000, 0.000], [0.500, 0.000, 0.500]]}

***

{"formula": "ZnCr3P", "functional": "PBE", "state": "optimized geometry", "m_tot_mub_per_atom": 2.08, "rho_g_cm3": 4.3, "space_group": "Pm-3m (221)", "ef_ev_per_atom": 1.3562, "lattice_angstrom": [[4.599, 0.000, 0.000], [0.000, 4.599, 0.000], [0.000, 0.000, 4.599]], "species": ["P", "Cr", "Cr", "Cr", "Zn"], "frac_coords": [[0.500, 0.500, 0.500], [0.500, 0.000, 0.000], [0.000, 0.500, 0.000], [0.000, 0.000, 0.500], [0.000, 0.000, 0.000]]}

***

{"formula": "Zn2CrP", "functional": "PBE", "state": "optimized geometry", "m_tot_mub_per_atom": 0.00, "rho_g_cm3": 6.2, "space_group": "R3m (160)", "ef_ev_per_atom": 0.0714, "lattice_angstrom": [[-5.589, -4.570, 3.880], [-5.367, -6.028, 1.428], [-3.506, -6.503, 3.549]], "species": ["Zn", "P", "Zn", "Cr"], "frac_coords": [[0.003, 0.003, 0.003], [0.761, 0.761, 0.761], [0.245, 0.245, 0.245], [0.492, 0.492, 0.492]]}

***

{"formula": "ZnCr2P", "functional": "PBE", "state": "optimized geometry", "m_tot_mub_per_atom": 0.45, "rho_g_cm3": 6.7, "space_group": "P4/mmm (123)", "ef_ev_per_atom": -0.0147, "lattice_angstrom": [[2.846, 0.000, 0.000], [0.000, 2.846, 0.000], [0.000, 0.000, 6.147]], "species": ["Zn", "Cr", "Cr", "P"], "frac_coords": [[0.500, 0.500, 0.750], [0.000, 0.000, 0.458], [0.000, 0.000, 0.042], [0.500, 0.500, 0.250]]}

***

{"formula": "ZnCr4P", "functional": "PBE", "state": "optimized geometry", "m_tot_mub_per_atom": 0.00, "rho_g_cm3": 6.7, "space_group": "F-43m (216)", "ef_ev_per_atom": 0.4089, "lattice_angstrom": [[3.824, -1.915, 2.043], [-0.454, -2.514, 3.992], [0.624, -4.698, -0.074]], "species": ["Zn", "Cr", "Cr", "Cr", "Cr", "P"], "frac_coords": [[0.000, 0.000, 0.000], [0.374, 0.374, 0.374], [0.374, 0.877, 0.374], [0.877, 0.374, 0.374], [0.374, 0.374, 0.877], [0.750, 0.750, 0.750]]}

***

{"formula": "ZnCr2P", "functional": "PBE", "state": "optimized geometry", "m_tot_mub_per_atom": 0.00, "rho_g_cm3": 6.7, "space_group": "P4mm (99)", "ef_ev_per_atom": 0.0324, "lattice_angstrom": [[-2.655, -1.200, -0.778], [1.170, -0.878, -2.637], [1.490, -4.751, 2.243]], "species": ["Zn", "P", "Cr", "Cr"], "frac_coords": [[0.500, 0.500, 0.755], [0.000, 0.000, 0.471], [0.500, 0.500, 0.254], [0.000, 0.000, 0.020]]}

***

{"formula": "ZnCrP3", "functional": "PBE", "state": "optimized geometry", "m_tot_mub_per_atom": 0.00, "rho_g_cm3": 3.7, "space_group": "Pm-3m (221)", "ef_ev_per_atom": 1.4572, "lattice_angstrom": [[-1.367, 2.683, -3.399], [-3.976, -2.191, -0.131], [-1.717, 2.936, 3.009]], "species": ["P", "Cr", "Zn", "P", "P"], "frac_coords": [[0.500, 0.000, 0.000], [0.500, 0.500, 0.500], [0.000, 0.000, 0.000], [0.000, 0.000, 0.500], [0.000, 0.500, 0.000]]}

***

{"formula": "ZnCr2P", "functional": "PBE", "state": "optimized geometry", "m_tot_mub_per_atom": 0.00, "rho_g_cm3": 6.7, "space_group": "R-3m (166)", "ef_ev_per_atom": 0.1103, "lattice_angstrom": [[8.026, 0.007, 0.004], [7.567, 2.674, 0.004], [7.567, 1.301, 2.336]], "species": ["Zn", "Cr", "Cr", "P"], "frac_coords": [[0.750, 0.750, 0.750], [0.992, 0.992, 0.992], [0.508, 0.508, 0.508], [0.250, 0.250, 0.250]]}

***

{"formula": "ZnCr2P", "functional": "PBE", "state": "optimized geometry", "m_tot_mub_per_atom": 0.01, "rho_g_cm3": 6.3, "space_group": "P2/m (10)", "ef_ev_per_atom": 0.0621, "lattice_angstrom": [[3.793, 0.000, 0.000], [0.000, 3.736, 0.713], [0.000, 3.055, 4.307]], "species": ["Cr", "Cr", "Zn", "P"], "frac_coords": [[0.500, 0.500, 0.000], [0.000, 0.000, 0.000], [0.000, 0.000, 0.500], [0.500, 0.500, 0.500]]}

***

{"formula": "ZnCr2P2", "functional": "PBE", "state": "optimized geometry", "m_tot_mub_per_atom": 0.31, "rho_g_cm3": 6.1, "space_group": "P4/mbm (127)", "ef_ev_per_atom": -0.1660, "lattice_angstrom": [[6.593, 0.000, 0.000], [0.000, 6.593, 0.000], [0.000, 0.000, 2.919]], "species": ["P", "P", "Zn", "Zn", "Cr", "Cr", "Cr", "P", "P", "Cr"], "frac_coords": [[0.648, 0.852, 0.500], [0.352, 0.148, 0.500], [0.500, 0.500, 0.000], [0.000, 0.000, 0.000], [0.143, 0.357, 0.000], [0.643, 0.143, 0.000], [0.857, 0.643, 0.000], [0.148, 0.648, 0.500], [0.852, 0.352, 0.500], [0.357, 0.857, 0.000]]}

***

{"formula": "ZnCr2P", "functional": "PBE", "state": "optimized geometry", "m_tot_mub_per_atom": 1.07, "rho_g_cm3": 6.6, "space_group": "Fm-3m (225)", "ef_ev_per_atom": 0.1307, "lattice_angstrom": [[0.000, 2.931, 2.931], [2.931, 0.000, 2.931], [2.931, 2.931, 0.000]], "species": ["Cr", "Cr", "Zn", "P"], "frac_coords": [[0.250, 0.250, 0.250], [0.750, 0.750, 0.750], [0.500, 0.500, 0.500], [0.000, 0.000, 0.000]]}